An optimized crystal structure of CdGaPO2. Source: the Alexandria database, functional GGA-PBE.

The structure in CIF format:
```
data_CdGaPO2
_symmetry_space_group_name_H-M 'P 4/m m m'
_symmetry_Int_Tables_number 123
_symmetry_space_group_name_Hall '-P 4 2'
_cell_length_a 4.0754
_cell_length_b 4.0754
_cell_length_c 5.3636
_cell_angle_alpha 90.00
_cell_angle_beta 90.00
_cell_angle_gamma 90.00
loop_
_atom_site_label
_atom_site_fract_x
_atom_site_fract_y
_atom_site_fract_z
Cd1 0.0000 0.0000 0.0000
Ga1 0.5000 0.5000 0.5000
P1 0.0000 0.0000 0.5000
O1 0.0000 0.5000 0.0000
```

Computed properties:
Formation energy (no corrections) in kJ/mol of atoms: 38.7
Excess energy over the best structure of this formula in the dataset in eV per atom: 0.690

---

An optimized crystal structure of CdGa2PO6. Source: the Alexandria database, functional GGA-PBE.

The structure in CIF format:
```
data_CdGa2PO6
_symmetry_space_group_name_H-M 'C 1 2/c 1'
_symmetry_Int_Tables_number 15
_cell_length_a 8.7487
_cell_length_b 12.0897
_cell_length_c 5.6762
_cell_angle_alpha 90.00
_cell_angle_beta 112.91
_cell_angle_gamma 90.00
loop_
_symmetry_equiv_pos_as_xyz
'x,y,z'
'-x,-y,-z'
'-x,y,-z+1/2'
'x,-y,z+1/2'
'x+1/2,y+1/2,z'
'-x+1/2,-y+1/2,-z'
'-x+1/2,y+1/2,-z+1/2'
'x+1/2,-y+1/2,z+1/2'
loop_
_atom_site_label
_atom_site_fract_x
_atom_site_fract_y
_atom_site_fract_z
Cd1 0.0000 0.0694 0.2500
Ga1 0.1286 0.4189 0.1407
P1 0.0000 0.2074 0.7500
O1 0.0738 0.2748 0.9984
O2 0.1319 0.4494 0.4692
O3 0.1334 0.1284 0.7202
```

Computed properties:
Formation energy (no corrections) in kJ/mol of atoms: -162.6

---

An optimized crystal structure of CdGaP2O. Source: the Alexandria database, functional GGA-PBE.

The structure in CIF format:
```
data_CdGaP2O
_symmetry_space_group_name_H-M 'P 4/m m m'
_symmetry_Int_Tables_number 123
_symmetry_space_group_name_Hall '-P 4 2'
_cell_length_a 5.1026
_cell_length_b 5.1026
_cell_length_c 4.0326
_cell_angle_alpha 90.00
_cell_angle_beta 90.00
_cell_angle_gamma 90.00
loop_
_atom_site_label
_atom_site_fract_x
_atom_site_fract_y
_atom_site_fract_z
Cd1 0.0000 0.0000 0.0000
Ga1 0.5000 0.5000 0.5000
P1 0.0000 0.5000 0.0000
O1 0.0000 0.0000 0.5000
```

Computed properties:
Formation energy (no corrections) in kJ/mol of atoms: 80.2
Excess energy over the best structure of this formula in the dataset in eV per atom: 0.590

---

An optimized crystal structure of CdGaPO2. Source: the Alexandria database, functional GGA-PBE.

The structure in CIF format:
```
data_CdGaPO2
_symmetry_space_group_name_H-M 'P 4/m m m'
_symmetry_Int_Tables_number 123
_symmetry_space_group_name_Hall '-P 4 2'
_cell_length_a 3.7905
_cell_length_b 3.7905
_cell_length_c 5.4265
_cell_angle_alpha 90.00
_cell_angle_beta 90.00
_cell_angle_gamma 90.00
loop_
_atom_site_label
_atom_site_fract_x
_atom_site_fract_y
_atom_site_fract_z
Cd1 0.0000 0.0000 0.0000
Ga1 0.5000 0.5000 0.5000
P1 0.5000 0.5000 0.0000
O1 0.0000 0.5000 0.5000
```

Computed properties:
Formation energy (no corrections) in kJ/mol of atoms: -27.9
Excess energy over the best structure of this formula in the dataset in eV per atom: 0.000